Record 1
ZnCuTeCl2O3 | Alexandria via LeMat-Bulk | PBE | optimized geometry; formation energy from raw total energies = -0.954 eV per atom; energy = -4.34 eV per atom; D(E_F) = 0.20 states/eV per atom; SG = Pccn (56)
1.0
-6.962 2.704 0.314
-2.762 -7.805 5.975
3.894 8.524 12.932
Te Zn Cl O Cu
8 8 16 24 8
Cartesian
-3.446 5.950 15.046
-1.204 1.885 10.773
-1.300 0.825 17.778
-4.530 2.598 1.443
-6.020 -0.536 13.818
0.190 3.959 5.403
-4.626 1.538 8.449
-2.384 -2.527 4.175
-0.349 4.634 14.414
-0.985 -0.340 8.023
-0.046 6.135 8.191
-5.481 -1.211 4.808
-3.318 -6.286 7.502
-5.784 -2.712 11.030
-2.512 9.709 11.720
-4.845 3.763 11.199
-5.309 5.710 10.174
-4.238 1.164 15.871
-6.094 0.725 5.717
0.264 2.698 13.505
-1.572 5.082 9.463
-2.388 -0.134 6.308
-1.745 -5.131 6.385
-4.085 8.554 12.836
-4.970 -3.055 5.988
-3.442 3.557 12.914
-0.860 6.478 13.234
-4.847 4.104 4.256
-1.592 2.259 3.351
-4.258 -1.659 9.759
-0.983 -0.681 14.966
-0.521 -2.287 9.047
0.257 2.634 6.833
-6.087 0.789 12.388
-1.548 1.426 8.908
-1.609 4.076 6.065
-3.568 3.013 7.735
-6.407 2.544 1.847
-2.262 0.410 11.486
-1.993 4.804 15.561
-3.953 5.820 6.736
-1.877 -2.397 12.486
-2.229 0.621 0.741
-4.221 -0.653 13.157
-1.139 2.649 17.105
-6.001 2.854 8.192
-4.276 4.974 16.517
-4.691 0.774 2.116
0.577 0.879 17.375
-3.601 2.802 18.480
0.171 0.569 11.029
-6.787 -1.070 3.227
0.957 4.493 15.994
-4.282 1.997 10.313
-1.554 -1.551 2.704
-3.837 -1.381 3.660
-0.788 -0.942 11.757
-5.042 4.365 7.464
-2.732 3.775 17.019
-3.098 -0.352 2.203
-6.663 0.761 2.543
-4.184 0.650 11.731
0.833 2.662 16.679
-1.646 2.773 7.490

***

Record 2
UCu3Cl6O2 | Alexandria via LeMat-Bulk | PBE | optimized geometry; formation energy from raw total energies = -0.965 eV per atom; energy = -4.68 eV per atom; D(E_F) = 0.86 states/eV per atom; SG = C2/m (12)
1.0
6.994 0.000 -4.182
0.000 6.520 0.000
-5.045 -3.260 9.282
Cu Cl O U
3 6 2 1
Cartesian
0.000 3.260 0.000
0.975 -1.630 2.550
0.975 1.630 2.550
-3.073 1.567 6.235
5.022 1.693 -1.136
-3.073 -1.567 6.235
5.022 4.827 -1.136
0.060 3.260 5.224
1.889 0.000 -0.125
0.704 3.260 1.687
1.245 0.000 3.412
3.497 0.000 -2.091